Entry from Alexandria: a relaxed Rb12Sr3Hg5 crystal (GGA-PBE).

a b c (Å): 20.0523 20.0523 20.0523
angles (deg): 109.47 109.47 109.47
Positions (direct):
1 Rb 0.0237 0.2002 0.1040
2 Rb 0.0237 0.3235 0.9197
3 Rb 0.0803 0.6040 0.4038
4 Rb 0.0803 0.9763 0.6765
5 Rb 0.0962 0.7002 0.6765
6 Rb 0.0962 0.8960 0.4197
7 Rb 0.1040 0.0237 0.2002
8 Rb 0.1040 0.5803 0.9038
9 Rb 0.1765 0.2002 0.5962
10 Rb 0.1765 0.4763 0.5803
11 Rb 0.2002 0.1040 0.0237
12 Rb 0.2002 0.5962 0.1765
13 Rb 0.2998 0.3235 0.9038
14 Rb 0.2998 0.4763 0.3960
15 Rb 0.3235 0.9038 0.2998
16 Rb 0.3235 0.9197 0.0237
17 Rb 0.3960 0.2998 0.4763
18 Rb 0.3960 0.5962 0.9197
19 Rb 0.4038 0.0803 0.6040
20 Rb 0.4038 0.8235 0.7998
21 Rb 0.4197 0.0962 0.8960
22 Rb 0.4197 0.8235 0.5237
23 Rb 0.4763 0.3960 0.2998
24 Rb 0.4763 0.5803 0.1765
25 Rb 0.5237 0.4197 0.8235
26 Rb 0.5237 0.6040 0.7002
27 Rb 0.5803 0.1765 0.4763
28 Rb 0.5803 0.9038 0.1040
29 Rb 0.5962 0.1765 0.2002
30 Rb 0.5962 0.9197 0.3960
31 Rb 0.6040 0.4038 0.0803
32 Rb 0.6040 0.7002 0.5237
33 Rb 0.6765 0.0803 0.9763
34 Rb 0.6765 0.0962 0.7002
35 Rb 0.7002 0.5237 0.6040
36 Rb 0.7002 0.6765 0.0962
37 Rb 0.7998 0.4038 0.8235
38 Rb 0.7998 0.8960 0.9763
39 Rb 0.8235 0.5237 0.4197
40 Rb 0.8235 0.7998 0.4038
41 Rb 0.8960 0.4197 0.0962
42 Rb 0.8960 0.9763 0.7998
43 Rb 0.9038 0.1040 0.5803
44 Rb 0.9038 0.2998 0.3235
45 Rb 0.9197 0.0237 0.3235
46 Rb 0.9197 0.3960 0.5962
47 Rb 0.9763 0.6765 0.0803
48 Rb 0.9763 0.7998 0.8960
49 Sr 0.1250 0.2500 0.3750
50 Sr 0.1250 0.3750 0.7500
51 Sr 0.2500 0.3750 0.1250
52 Sr 0.2500 0.8750 0.6250
53 Sr 0.3750 0.1250 0.2500
54 Sr 0.3750 0.7500 0.1250
55 Sr 0.6250 0.2500 0.8750
56 Sr 0.6250 0.8750 0.7500
57 Sr 0.7500 0.1250 0.3750
58 Sr 0.7500 0.6250 0.8750
59 Sr 0.8750 0.6250 0.2500
60 Sr 0.8750 0.7500 0.6250
61 Hg 0.0000 0.0000 0.0000
62 Hg 0.0000 0.0000 0.5000
63 Hg 0.0000 0.5000 0.0000
64 Hg 0.0000 0.5000 0.5000
65 Hg 0.1250 0.7500 0.8750
66 Hg 0.1250 0.8750 0.2500
67 Hg 0.2500 0.1250 0.8750
68 Hg 0.2500 0.6250 0.3750
69 Hg 0.3750 0.2500 0.6250
70 Hg 0.3750 0.6250 0.7500
71 Hg 0.5000 0.0000 0.0000
72 Hg 0.5000 0.0000 0.5000
73 Hg 0.5000 0.5000 0.0000
74 Hg 0.5000 0.5000 0.5000
75 Hg 0.6250 0.3750 0.2500
76 Hg 0.6250 0.7500 0.3750
77 Hg 0.7500 0.3750 0.6250
78 Hg 0.7500 0.8750 0.1250
79 Hg 0.8750 0.1250 0.7500
80 Hg 0.8750 0.2500 0.1250

Calculated formation energy (eV per atom): 0.11
Final energy (eV/atom): -0.80
Volume (Å³/f.u.): 1551.70